Entry 1:
# InRe2Cl

A relaxed InRe2Cl crystal (PBE, Alexandria).

relative energy among the computed polymorphs = 817 meV/atom
volume = 18.55 A^3/atom
spin magnetization = 0.0 μB per formula unit
total energy = -25.80 eV for the cell shown
formation energy from raw total energies = 921 meV per atom

```
InRe2Cl
1.0
3.173 0.000 0.000
0.000 5.049 0.000
-0.305 0.000 4.631
In Re Cl
1 2 1
Cartesian
0.000 0.000 0.000
0.916 2.524 1.000
1.952 2.524 3.631
1.434 0.000 2.316
```

Entry 2:
# InRe2Cl

A relaxed InRe2Cl crystal (PBE, Alexandria).

relative energy among the computed polymorphs = 402 meV/atom
volume = 18.88 A^3/atom
spin magnetization = 0.0 μB per formula unit
total energy = -27.46 eV for the cell shown
formation energy from raw total energies = 506 meV per atom

```
InRe2Cl
1.0
1.464 -2.530 0.000
1.464 2.530 0.000
0.000 0.000 10.190
In Re Cl
1 2 1
Cartesian
0.000 0.000 0.000
0.000 0.000 5.430
1.464 0.000 7.538
1.464 0.000 3.379
```

Entry 3:
# InReCl2

A relaxed InReCl2 crystal (PBE, Alexandria).

relative energy among the computed polymorphs = 885 meV/atom
volume = 24.16 A^3/atom
spin magnetization = 4.7 μB per formula unit
total energy = -15.43 eV for the cell shown
formation energy from raw total energies = 862 meV per atom

```
InReCl2
1.0
5.480 0.000 0.000
0.000 5.480 0.000
0.000 0.000 3.218
In Re Cl
1 1 2
Cartesian
0.000 0.000 0.000
2.740 2.740 0.000
0.000 2.740 1.609
2.740 0.000 1.609
```

> Which value of volume does entry 1 give?

18.55 A^3/atom

> The highest formation energy from raw total energies belongs to which entry?

number 1

> Which of these has the lowest total energy?

number 2

> formation energy from raw total energies of number 3 (InReCl2)?

862 meV per atom